Compound: CaHIrSe2
Source: Alexandria
Functional: GGA-PBE
Structure: optimized geometry

Space group: P4/mmm
DFT total energy in eV per atom: -4.79
DOS(E_F) in states/eV per atom: 0.7810
Size of the total moment in Bohr magnetons per cell: 0.0

a = 5.068 Å, b = 5.068 Å, c = 3.538 Å
α = 90.00°, β = 90.00°, γ = 90.00°
Element x y z (fractional)
Ca1 0.000 0.000 0.000
H1 0.500 0.500 0.000
Ir1 0.500 0.500 0.500
Se1 0.000 0.500 0.500
Se2 0.500 0.000 0.500